(1)
This record from Alexandria via LeMat-Bulk describes a relaxed structure of CaZnP2O. The functional is PBE.

abc: 5.0033 5.0033 3.7016
angles: 90.00 90.00 90.00
Space group P4/mmm (No. 123)
Asymmetric unit:
Ca 0.0000 0.0000 0.0000 (multiplicity 1)
Zn 0.5000 0.5000 0.5000 (multiplicity 1)
P 0.0000 0.5000 0.5000 (multiplicity 2)
O 0.5000 0.5000 0.0000 (multiplicity 1)

Summary:
The calculation puts the volume at 93 Å³ per cell. The value obtained for the relative energy among the computed polymorphs is 0.0 meV/atom. For the size of the total moment, the calculation gives 0.002 μB per cell. The calculation puts the electronic total energy at -3.921 eV/atom. The value obtained for the theoretical density is 3.3 Mg/m³. Its uncorrected formation energy is -110 meV per atom.



(2)
This record from Alexandria via LeMat-Bulk describes a relaxed structure of CaZn2PO6. The functional is PBE.

abc: 10.5460 9.0931 6.5439
angles: 90.00 118.93 90.00
Space group C2/c (No. 15)
Asymmetric unit:
Ca 0.0000 0.1871 0.2500 (multiplicity 4)
Zn 0.1700 0.4474 0.1090 (multiplicity 8)
P 0.0000 0.1572 0.7500 (multiplicity 4)
O 0.0754 0.2506 0.9740 (multiplicity 8)
O 0.1109 0.0539 0.7272 (multiplicity 8)
O 0.1285 0.4118 0.3660 (multiplicity 8)

Summary:
The calculation puts the volume at 549 Å³ per cell. For the size of the total moment, the calculation gives 3.940 μB per cell. The calculation puts the electronic total energy at -5.927 eV/atom. The value obtained for the theoretical density is 3.6 Mg/m³. Its uncorrected formation energy is -1956 meV per atom.



(3)
This record from Alexandria via LeMat-Bulk describes a relaxed structure of CaZnP2O. The functional is PBE.

abc: 5.3691 5.3691 4.1377
angles: 90.00 90.00 90.00
Space group P4/mmm (No. 123)
Asymmetric unit:
Ca 0.0000 0.0000 0.0000 (multiplicity 1)
Zn 0.5000 0.5000 0.5000 (multiplicity 1)
P 0.0000 0.5000 0.0000 (multiplicity 2)
O 0.0000 0.0000 0.5000 (multiplicity 1)

Summary:
The calculation puts the volume at 119 Å³ per cell. The value obtained for the relative energy among the computed polymorphs is 703.5 meV/atom. For the size of the total moment, the calculation gives 0.623 μB per cell. The calculation puts the electronic total energy at -3.217 eV/atom. The value obtained for the theoretical density is 2.6 Mg/m³. Its uncorrected formation energy is 593 meV per atom.



(4)
This record from Alexandria via LeMat-Bulk describes a relaxed structure of CaZnPO2. The functional is PBE.

abc: 4.2285 4.2285 6.0817
angles: 90.00 90.00 90.00
Space group P4/mmm (No. 123)
Asymmetric unit:
Ca 0.0000 0.0000 0.0000 (multiplicity 1)
Zn 0.5000 0.5000 0.5000 (multiplicity 1)
P 0.0000 0.0000 0.5000 (multiplicity 1)
O 0.0000 0.5000 0.0000 (multiplicity 2)

Summary:
The calculation puts the volume at 109 Å³ per cell. The value obtained for the relative energy among the computed polymorphs is 542.3 meV/atom. For the size of the total moment, the calculation gives 3.067 μB per cell. The calculation puts the electronic total energy at -3.728 eV/atom. The value obtained for the theoretical density is 2.6 Mg/m³. Its uncorrected formation energy is -8 meV per atom.



(5)
This record from Alexandria via LeMat-Bulk describes a relaxed structure of CaZnPO4. The functional is PBE.

abc: 5.7292 7.1926 8.5207
angles: 90.00 90.00 90.00
Space group Imma (No. 74)
Asymmetric unit:
Ca 0.0000 0.0000 0.0000 (multiplicity 4)
Zn 0.2500 0.2500 0.2500 (multiplicity 4)
P 0.0000 0.2500 0.6190 (multiplicity 4)
O 0.0000 0.0702 0.7182 (multiplicity 8)
O 0.2235 0.2500 0.5076 (multiplicity 8)

Summary:
The calculation puts the volume at 351 Å³ per cell. For the size of the total moment, the calculation gives 0.000 μB per cell. The calculation puts the electronic total energy at -6.154 eV/atom. The value obtained for the theoretical density is 3.8 Mg/m³. Its uncorrected formation energy is -2080 meV per atom.



(6)
This record from Alexandria via LeMat-Bulk describes a relaxed structure of CaZn2P2O2. The functional is PBE.

abc: 4.5040 4.5040 6.9987
angles: 90.00 90.00 120.00
Space group P-3m1 (No. 164)
Asymmetric unit:
Ca 0.0000 0.0000 0.0000 (multiplicity 1)
Zn 0.3333 0.6667 0.2523 (multiplicity 2)
P 0.3333 0.6667 0.7496 (multiplicity 2)
O 0.3333 0.6667 0.5275 (multiplicity 2)

Summary:
The calculation puts the volume at 123 Å³ per cell. For the size of the total moment, the calculation gives 0.000 μB per cell. The calculation puts the electronic total energy at -4.360 eV/atom. The value obtained for the theoretical density is 3.6 Mg/m³. Its uncorrected formation energy is -748 meV per atom.



(7)
This record from Alexandria via LeMat-Bulk describes a relaxed structure of CaZnPO2. The functional is PBE.

abc: 4.1067 4.1067 4.5033
angles: 90.00 90.00 90.00
Space group P4/mmm (No. 123)
Asymmetric unit:
Ca 0.0000 0.0000 0.0000 (multiplicity 1)
Zn 0.5000 0.5000 0.5000 (multiplicity 1)
P 0.5000 0.5000 0.0000 (multiplicity 1)
O 0.0000 0.5000 0.5000 (multiplicity 2)

Summary:
The calculation puts the volume at 76 Å³ per cell. The value obtained for the relative energy among the computed polymorphs is 0.0 meV/atom. For the size of the total moment, the calculation gives 0.036 μB per cell. The calculation puts the electronic total energy at -4.270 eV/atom. The value obtained for the theoretical density is 3.7 Mg/m³. Its uncorrected formation energy is -550 meV per atom.



(8)
This record from Alexandria via LeMat-Bulk describes a relaxed structure of CaZn2P2O8. The functional is PBE.

abc: 5.0418 8.5353 9.0866
angles: 113.48 102.22 94.06
Space group P-1 (No. 2)
Asymmetric unit:
Ca 0.2242 0.2323 0.0524 (multiplicity 2)
Zn 0.1570 0.4164 0.7116 (multiplicity 2)
Zn 0.3819 0.1095 0.4105 (multiplicity 2)
P 0.1093 0.7808 0.6974 (multiplicity 2)
P 0.3206 0.7086 0.1824 (multiplicity 2)
O 0.0008 0.6709 0.1482 (multiplicity 2)
O 0.0038 0.3824 0.2846 (multiplicity 2)
O 0.0385 0.9389 0.8320 (multiplicity 2)
O 0.0611 0.2274 0.4746 (multiplicity 2)
O 0.3925 0.7568 0.0500 (multiplicity 2)
O 0.4208 0.7887 0.7050 (multiplicity 2)
O 0.4337 0.8669 0.3585 (multiplicity 2)
O 0.4418 0.5517 0.1991 (multiplicity 2)

Summary:
The calculation puts the volume at 345 Å³ per cell. For the size of the total moment, the calculation gives 0.000 μB per cell. The calculation puts the electronic total energy at -6.507 eV/atom. The value obtained for the theoretical density is 3.5 Mg/m³. Its uncorrected formation energy is -2273 meV per atom.



(9)
This record from Alexandria via LeMat-Bulk describes a relaxed structure of CaZr4P6O24. The functional is PBE.

abc: 8.9604 8.9604 22.8291
angles: 90.00 90.00 120.00
Space group R-3 (No. 148, hexagonal axes)
Asymmetric unit:
Ca 0.0000 0.0000 0.0000 (multiplicity 3)
Zr 0.0000 0.0000 0.1487 (multiplicity 6)
Zr 0.0000 0.0000 0.3617 (multiplicity 6)
P 0.0109 0.2932 0.7469 (multiplicity 18)
O 0.0070 0.1957 0.8034 (multiplicity 18)
O 0.0189 0.8337 0.9174 (multiplicity 18)
O 0.0340 0.2103 0.4105 (multiplicity 18)
O 0.0361 0.2065 0.6929 (multiplicity 18)

Summary:
The calculation puts the volume at 1587 Å³ per cell. For the size of the total moment, the calculation gives 0.000 μB per cell. The calculation puts the electronic total energy at -8.133 eV/atom. The value obtained for the theoretical density is 3.1 Mg/m³. Its uncorrected formation energy is -2772 meV per atom.



(10)
This record from Alexandria via LeMat-Bulk describes a relaxed structure of CaZrPO2. The functional is PBE.

abc: 4.1566 4.1566 5.2970
angles: 90.00 90.00 90.00
Space group P4/mmm (No. 123)
Asymmetric unit:
Ca 0.0000 0.0000 0.0000 (multiplicity 1)
Zr 0.5000 0.5000 0.5000 (multiplicity 1)
P 0.5000 0.5000 0.0000 (multiplicity 1)
O 0.0000 0.5000 0.5000 (multiplicity 2)

Summary:
The calculation puts the volume at 92 Å³ per cell. The value obtained for the relative energy among the computed polymorphs is 0.0 meV/atom. For the size of the total moment, the calculation gives 0.030 μB per cell. The calculation puts the electronic total energy at -7.133 eV/atom. The value obtained for the theoretical density is 3.5 Mg/m³. Its uncorrected formation energy is -1958 meV per atom.



(11)
This record from Alexandria via LeMat-Bulk describes a relaxed structure of Ca2ZrPO8. The functional is PBE.

abc: 5.3598 5.3598 5.6447
angles: 90.00 90.00 120.00
Space group P-3m1 (No. 164)
Asymmetric unit:
Ca 0.3333 0.6667 0.4004 (multiplicity 2)
Zr 0.0000 0.0000 0.0000 (multiplicity 1)
P 0.0000 0.0000 0.5000 (multiplicity 1)
O 0.1470 0.2939 0.6844 (multiplicity 6)
O 0.3333 0.6667 0.0171 (multiplicity 2)

Summary:
The calculation puts the volume at 140 Å³ per cell. For the size of the total moment, the calculation gives 3.016 μB per cell. The calculation puts the electronic total energy at -6.666 eV/atom. The value obtained for the theoretical density is 3.9 Mg/m³. Its uncorrected formation energy is -1864 meV per atom.



(12)
This record from Alexandria via LeMat-Bulk describes a relaxed structure of CaZrPO2. The functional is PBE.

abc: 4.1064 4.1064 5.2942
angles: 90.00 90.00 90.00
Space group P4/mmm (No. 123)
Asymmetric unit:
Ca 0.0000 0.0000 0.0000 (multiplicity 1)
Zr 0.5000 0.5000 0.5000 (multiplicity 1)
P 0.0000 0.0000 0.5000 (multiplicity 1)
O 0.0000 0.5000 0.0000 (multiplicity 2)

Summary:
The calculation puts the volume at 89 Å³ per cell. The value obtained for the relative energy among the computed polymorphs is 1342.1 meV/atom. For the size of the total moment, the calculation gives 0.813 μB per cell. The calculation puts the electronic total energy at -5.791 eV/atom. The value obtained for the theoretical density is 3.6 Mg/m³. Its uncorrected formation energy is -616 meV per atom.